# TbMg2ZnAg4 | the Alexandria database | GGA-PBE | relaxed
data_TbMg2ZnAg4
_chemical_formula_sum 'Tb1 Mg2 Zn1 Ag4'
_cell_length_a 4.688
_cell_length_b 4.688
_cell_length_c 8.745
_cell_angle_alpha 74.45
_cell_angle_beta 74.45
_cell_angle_gamma 60.00
_symmetry_space_group_name_H-M 'P 1'
_symmetry_Int_Tables_number 1
loop_
_symmetry_equiv_pos_as_xyz
'x,y,z'
loop_
_atom_site_label
_atom_site_type_symbol
_atom_site_fract_x
_atom_site_fract_y
_atom_site_fract_z
_atom_site_occupancy
Mg1 Mg 0.755 0.755 0.734 1
Mg2 Mg 0.245 0.245 0.266 1
Ag1 Ag 0.607 0.607 0.179 1
Ag2 Ag 0.872 0.872 0.385 1
Ag3 Ag 0.393 0.393 0.821 1
Ag4 Ag 0.128 0.128 0.615 1
Zn1 Zn 0.500 0.500 0.500 1
Tb1 Tb 0.000 0.000 0.000 1
# - Crystal system: trigonal
# - ΔE_f: -0.1812 eV/atom

# BaBe2Co | the Alexandria database | GGA-PBE | relaxed
data_BaBe2Co
_chemical_formula_sum 'Ba1 Be2 Co1'
_cell_length_a 3.129
_cell_length_b 3.130
_cell_length_c 6.961
_cell_angle_alpha 90.00
_cell_angle_beta 90.00
_cell_angle_gamma 90.00
_symmetry_space_group_name_H-M 'P 1'
_symmetry_Int_Tables_number 1
loop_
_symmetry_equiv_pos_as_xyz
'x,y,z'
loop_
_atom_site_label
_atom_site_type_symbol
_atom_site_fract_x
_atom_site_fract_y
_atom_site_fract_z
_atom_site_occupancy
Be1 Be 0.000 0.000 0.100 1
Be2 Be 0.500 0.500 0.281 1
Co1 Co 0.000 0.000 0.384 1
Ba1 Ba 0.500 0.500 0.735 1
# - Crystal system: tetragonal
# - ΔE_f: 0.5461 eV/atom

# Ba2PmGe2S6 | the Alexandria database | GGA-PBE | relaxed
data_Ba2PmGe2S6
_chemical_formula_sum 'Ba2 Pm1 Ge2 S6'
_cell_length_a 7.208
_cell_length_b 7.035
_cell_length_c 8.257
_cell_angle_alpha 114.59
_cell_angle_beta 90.00
_cell_angle_gamma 120.82
_symmetry_space_group_name_H-M 'P 1'
_symmetry_Int_Tables_number 1
loop_
_symmetry_equiv_pos_as_xyz
'x,y,z'
loop_
_atom_site_label
_atom_site_type_symbol
_atom_site_fract_x
_atom_site_fract_y
_atom_site_fract_z
_atom_site_occupancy
S1 S 0.193 0.872 0.197 1
S2 S 0.248 0.496 0.406 1
S3 S 0.807 0.128 0.803 1
S4 S 0.679 0.872 0.197 1
S5 S 0.321 0.128 0.803 1
S6 S 0.752 0.504 0.594 1
Ge1 Ge 0.040 0.079 0.174 1
Ge2 Ge 0.960 0.921 0.826 1
Ba1 Ba 0.288 0.576 0.812 1
Ba2 Ba 0.712 0.424 0.188 1
Pm1 Pm 0.500 0.000 0.500 1
# - Formation energy from raw total energies: -1309 meV per atom
# - Crystal system: monoclinic